First-principles (PBE) data for TiBiS2 after structural relaxation, as listed in the Alexandria database.

POSCAR file:
```
TiBiS2
1.0
5.5643 0.0000 0.0000
0.0000 3.2413 0.0000
0.0000 0.0000 20.1526
Ti Bi S
4 4 8
Direct
0.1148 0.2500 0.2063
0.3852 0.7500 0.7063
0.6148 0.2500 0.2937
0.8852 0.7500 0.7937
0.1443 0.7500 0.4372
0.3557 0.2500 0.9372
0.6443 0.7500 0.0628
0.8557 0.2500 0.5628
0.2101 0.7500 0.1190
0.2267 0.2500 0.7889
0.2733 0.7500 0.2889
0.2899 0.2500 0.6190
0.7101 0.7500 0.3810
0.7267 0.2500 0.7111
0.7733 0.7500 0.2111
0.7899 0.2500 0.8810
```

Computed properties:
- energy relative to the elements, uncorrected (eV per atom) = -0.76
- spin magnetization (Bohr magnetons per cell) = 0.00